No. 1
Mn2AlAs: relaxed, GGA-PBE.

Unit cell a=4.8568 b=4.8568 c=4.8568 alpha=135.67 beta=135.67 gamma=64.50
Sites, in units of the cell vectors:
Mn 0.0000 0.0000 0.0000
Mn 0.7500 0.2500 0.5000
Al 0.5000 0.5000 0.0000
As 0.2500 0.7500 0.5000

**Energy of formation**: -0.081 eV/atom
**Polymorph energy (0 for the lowest one)**: 6.3 meV per atom
**Crystal system**: tetragonal

No. 2
MnAl2As: relaxed, GGA-PBE.

Unit cell a=3.1630 b=4.0167 c=4.9748 alpha=90.00 beta=108.44 gamma=90.00
Sites, in units of the cell vectors:
Mn 0.0000 0.0000 0.0000
Al 0.2676 0.0000 0.5346
Al 0.5918 0.5000 0.1849
As 0.8624 0.5000 0.7248

**Energy of formation**: -0.049 eV/atom
**Crystal system**: monoclinic

No. 3
MnAlAs3: relaxed, GGA-PBE.

Unit cell a=4.7740 b=4.7740 c=4.7740 alpha=90.00 beta=90.00 gamma=90.00
Sites, in units of the cell vectors:
Mn 0.0000 0.0000 0.0000
Al 0.5000 0.5000 0.5000
As 0.0000 0.5000 0.5000
As 0.5000 0.0000 0.5000
As 0.5000 0.5000 0.0000

**Energy of formation**: 1.186 eV/atom
**Polymorph energy (0 for the lowest one)**: 740.9 meV per atom
**Crystal system**: cubic

No. 4
Mn2AlAs: relaxed, GGA-PBE.

Unit cell a=2.8587 b=2.8587 c=6.4894 alpha=90.00 beta=90.00 gamma=90.00
Sites, in units of the cell vectors:
Mn 0.0000 0.0000 0.2313
Mn 0.0000 0.0000 0.7687
Al 0.5000 0.5000 0.5000
As 0.5000 0.5000 0.0000

**Energy of formation**: -0.028 eV/atom
**Polymorph energy (0 for the lowest one)**: 59.6 meV per atom
**Crystal system**: tetragonal

No. 5
Mn2AlAs: relaxed, GGA-PBE.

Unit cell a=3.5889 b=3.6238 c=4.1044 alpha=90.00 beta=90.00 gamma=90.00
Sites, in units of the cell vectors:
Mn 0.0000 0.0000 0.0000
Mn 0.0000 0.5000 0.5000
Al 0.5000 0.0000 0.5000
As 0.5000 0.5000 0.0000

**Energy of formation**: -0.041 eV/atom
**Polymorph energy (0 for the lowest one)**: 45.8 meV per atom
**Crystal system**: orthorhombic

No. 6
MnAl4As: relaxed, GGA-PBE.

Unit cell a=5.2313 b=5.2313 c=5.2313 alpha=60.00 beta=60.00 gamma=60.00
Sites, in units of the cell vectors:
Mn 0.0000 0.0000 0.0000
Al 0.3740 0.3740 0.3740
Al 0.3740 0.3740 0.8780
Al 0.3740 0.8780 0.3740
Al 0.8780 0.3740 0.3740
As 0.7500 0.7500 0.7500

**Energy of formation**: 0.240 eV/atom
**Crystal system**: cubic

No. 7
Mn2AlAs: relaxed, GGA-PBE.

Unit cell a=4.6559 b=4.6559 c=4.2768 alpha=103.96 beta=103.96 gamma=36.26
Sites, in units of the cell vectors:
Mn 0.0000 0.0000 0.0000
Mn 0.2214 0.2214 0.6195
Al 0.4809 0.4809 0.4911
As 0.7300 0.7300 0.1158

**Energy of formation**: -0.051 eV/atom
**Polymorph energy (0 for the lowest one)**: 36.6 meV per atom
**Crystal system**: monoclinic

No. 8
MnAl2As: relaxed, GGA-PBE.

Unit cell a=4.9887 b=4.9887 c=4.9887 alpha=133.83 beta=133.83 gamma=67.35
Sites, in units of the cell vectors:
Mn 0.0000 0.0000 0.0000
Al 0.2500 0.7500 0.5000
Al 0.5000 0.5000 0.0000
As 0.7500 0.2500 0.5000

**Energy of formation**: 0.033 eV/atom
**Crystal system**: tetragonal

No. 9
Mn2AlAs: relaxed, GGA-PBE.

Unit cell a=3.3003 b=3.3003 c=5.1483 alpha=90.00 beta=90.00 gamma=90.00
Sites, in units of the cell vectors:
Mn 0.0000 0.0000 0.0000
Mn 0.5000 0.5000 0.2718
Al 0.0000 0.0000 0.4898
As 0.5000 0.5000 0.7906

**Energy of formation**: -0.087 eV/atom
**Polymorph energy (0 for the lowest one)**: 0.0 meV per atom
**Crystal system**: tetragonal

No. 10
MnAl2As: relaxed, GGA-PBE.

Unit cell a=3.4295 b=3.4295 c=5.2585 alpha=90.00 beta=90.00 gamma=90.00
Sites, in units of the cell vectors:
Mn 0.0000 0.0000 0.0000
Al 0.0000 0.0000 0.4914
Al 0.5000 0.5000 0.2215
As 0.5000 0.5000 0.7391

**Energy of formation**: -0.007 eV/atom
**Crystal system**: tetragonal

No. 11
MnAl2As: relaxed, GGA-PBE.

Unit cell a=4.8569 b=4.8569 c=4.6901 alpha=100.49 beta=100.49 gamma=34.32
Sites, in units of the cell vectors:
Mn 0.0000 0.0000 0.0000
Al 0.2608 0.2608 0.7623
Al 0.7392 0.7392 0.2377
As 0.5000 0.5000 0.5000

**Energy of formation**: 0.063 eV/atom
**Crystal system**: monoclinic

No. 12
MnAl3As: relaxed, GGA-PBE.

Unit cell a=4.8021 b=4.8021 c=4.8021 alpha=90.00 beta=90.00 gamma=90.00
Sites, in units of the cell vectors:
Mn 0.0000 0.0000 0.0000
Al 0.0000 0.5000 0.5000
Al 0.5000 0.0000 0.5000
Al 0.5000 0.5000 0.0000
As 0.5000 0.5000 0.5000

**Energy of formation**: 1.264 eV/atom
**Polymorph energy (0 for the lowest one)**: 785.9 meV per atom
**Crystal system**: cubic